Computed, not measured: a geometry-optimized LaZn4Ga4 structure at the PBE level of DFT.

Formation energy from the elements in meV/atom: -122

Geometry as POSCAR:
```
LaZn4Ga4
1.0
8.291 0.000 0.000
0.000 8.291 0.000
0.000 0.000 5.460
La Zn Ga
2 8 8
Cartesian
2.073 2.073 1.365
6.218 6.218 4.095
0.699 7.449 0.652
0.842 4.845 3.382
3.303 7.592 3.382
3.446 4.988 0.652
4.845 3.303 4.808
4.988 0.699 2.078
7.449 3.446 2.078
7.592 0.842 4.808
0.808 4.977 0.649
0.832 7.483 3.379
3.314 4.954 3.379
3.337 7.459 0.649
4.954 0.832 4.811
4.977 3.337 2.081
7.459 0.808 2.081
7.483 3.314 4.811
```

=====

Computed, not measured: a geometry-optimized LaSm3Pa2N6 structure at the PBE level of DFT.

ΔE_f (raw) in eV/atom: -1.549

Geometry as POSCAR:
```
LaSm3Pa2N6
1.0
7.791 -1.792 0.000
7.791 1.792 0.000
-1.592 0.000 6.987
La Sm Pa N
1 3 2 6
Cartesian
0.000 0.000 0.000
-0.796 0.000 3.494
4.923 0.000 1.142
9.067 0.000 5.845
4.128 0.000 4.667
9.863 0.000 2.321
2.470 0.000 0.767
1.775 0.000 3.955
6.377 0.000 5.121
7.613 0.000 1.866
12.216 0.000 3.032
11.521 0.000 6.220
```

=====

no.,final energy (eV per cell)
1,-46.4
2,-106.6